[1]
A plane-wave DFT calculation with PBE was carried out for a relaxed Mn2TlW crystal.

Structure (POSCAR):
```
Mn2TlW
1.0
-4.2398 -0.5982 -0.4160
-0.3125 -0.7262 4.2287
-0.4892 3.1200 0.4996
W Mn Tl
1 2 1
Direct
0.0000 0.5000 0.5000
0.0000 0.0000 0.0000
0.5000 0.5000 0.0000
0.5000 0.0000 0.5000
```

## Properties
- Total magnetic moment: 1.45 Bohr magnetons per cell
- Symmetry: P4/mmm, No. 123
- Crystal system: tetragonal
- Density: 13.98 g/cm³
- DOS at the Fermi energy: 2.7 states/eV/f.u.
- VASP energy: -31.10 eV per cell

[2]
A plane-wave DFT calculation with PBE was carried out for a relaxed YZn2Co2P crystal.

Structure (POSCAR):
```
YZn2Co2P
1.0
4.1951 0.0000 0.0000
0.0000 4.1951 0.0000
0.0000 0.0000 5.4947
Co Zn Y P
2 2 1 1
Direct
0.5000 0.0000 0.0000
0.0000 0.5000 0.0000
0.5000 0.5000 0.2712
0.5000 0.5000 0.7288
0.0000 0.0000 0.5000
0.0000 0.0000 0.0000
```

## Properties
- Total magnetic moment: 1.57 Bohr magnetons per cell
- Symmetry: P4/mmm, No. 123
- Crystal system: tetragonal
- Density: 6.33 g/cm³
- DOS at the Fermi energy: 4.2 states/eV/f.u.
- VASP energy: -31.01 eV per cell